Computed, not measured: a relaxed structure of Pa2CdGa at the PBE level of DFT.

Geometry as POSCAR:
```
Pa2CdGa
1.0
3.921 0.000 0.000
0.000 3.921 0.000
0.000 0.000 6.292
Pa Cd Ga
2 1 1
direct
0.000 0.000 0.214 Pa
0.000 0.000 0.786 Pa
0.500 0.500 0.500 Cd
0.500 0.500 0.000 Ga
```

Properties
As for the space-group type: P4/mmm. The value obtained for the formation energy is 0.057 eV/atom. The calculation puts the total moment at 1.86 μB/f.u. As for the uncorrected energy: -5.68 eV per atom.



Computed, not measured: a relaxed structure of LaZn3I at the PBE level of DFT.

Geometry as POSCAR:
```
LaZn3I
1.0
5.333 0.000 0.000
0.000 5.333 0.000
0.000 0.000 5.333
La Zn I
1 3 1
direct
0.000 0.000 0.000 La
0.000 0.500 0.500 Zn
0.500 0.000 0.500 Zn
0.500 0.500 0.000 Zn
0.500 0.500 0.500 I
```

Properties
The uncorrected formation energy comes out at 631 meV/atom. As for the space-group type: Pm-3m. The calculation puts the total moment at 0.00 μB/f.u. As for the uncorrected energy: -1.43 eV per atom.



Computed, not measured: a relaxed structure of Pm5AgGe2 at the PBE level of DFT.

Geometry as POSCAR:
```
Pm5AgGe2
1.0
-3.886 3.886 7.404
3.886 -3.886 7.404
3.886 3.886 -7.404
Pm Ag Ge
10 2 4
direct
0.000 0.000 0.000 Pm
0.028 0.528 0.840 Pm
0.188 0.028 0.500 Pm
0.312 0.812 0.840 Pm
0.472 0.312 0.500 Pm
0.500 0.500 0.000 Pm
0.528 0.688 0.500 Pm
0.688 0.188 0.160 Pm
0.812 0.972 0.500 Pm
0.972 0.472 0.160 Pm
0.250 0.250 0.000 Ag
0.750 0.750 0.000 Ag
0.128 0.372 0.500 Ge
0.372 0.872 0.245 Ge
0.628 0.128 0.755 Ge
0.872 0.628 0.500 Ge
```

Properties
As for the space-group type: I4/mcm. The value obtained for the formation energy is -0.512 eV/atom. The calculation puts the total moment at 0.00 μB/f.u. As for the uncorrected energy: -4.99 eV per atom.



Computed, not measured: a relaxed structure of Sr2TaRh at the PBE level of DFT.

Geometry as POSCAR:
```
Sr2TaRh
1.0
2.306 -2.312 0.000
2.306 2.312 0.000
0.000 0.000 9.534
Sr Ta Rh
2 1 1
direct
0.000 0.000 0.211 Sr
0.000 0.000 0.789 Sr
0.500 0.500 0.500 Ta
0.500 0.500 0.000 Rh
```

Properties
As for the space-group type: Cmmm. The value obtained for the formation energy is 0.641 eV/atom. The calculation puts the total moment at 0.88 μB/f.u. As for the uncorrected energy: -5.00 eV per atom.



Computed, not measured: a relaxed structure of LaSe2Cl at the PBE level of DFT.

Geometry as POSCAR:
```
LaSe2Cl
1.0
1.859 1.073 9.679
-1.859 1.073 9.679
0.000 -2.146 9.679
La Se Cl
1 2 1
direct
0.000 0.000 0.000 La
0.095 0.095 0.095 Se
0.905 0.905 0.905 Se
0.500 0.500 0.500 Cl
```

Properties
The uncorrected formation energy comes out at 232 meV/atom. As for the space-group type: R-3m. The calculation puts the total moment at 0.00 μB/f.u. As for the uncorrected energy: -3.20 eV per atom.



Computed, not measured: a relaxed structure of PtWS2N at the PBE level of DFT.

Geometry as POSCAR:
```
PtWS2N
1.0
4.781 0.000 0.000
0.000 4.781 0.000
0.000 0.000 3.765
Pt W S N
1 1 2 1
direct
0.000 0.000 0.000 Pt
0.500 0.500 0.500 W
0.000 0.500 0.500 S
0.500 0.000 0.500 S
0.500 0.500 0.000 N
```

Properties
The uncorrected formation energy comes out at 586 meV/atom. As for the space-group type: P4/mmm. The calculation puts the total moment at 0.00 μB/f.u. As for the uncorrected energy: -6.53 eV per atom.